ZnSiAs: relaxed, PBE. Values from VASP.

Summary:
Spin magnetization in μB per cell: 0.00
DOS at the Fermi energy in states/eV/cell: 0.5
VASP energy in eV/atom: -3.4035
Energy above the lowest structure with this stoichiometry in eV per atom: 0.099
Space group: I4mm (107)
Theoretical density in g cm⁻³: 5.43
V in Å³ per cell: 51.5

```
&SYSTEM
  ibrav = 0, nat = 3, ntyp = 3
/
ATOMIC_SPECIES
As 74.92 As.upf
Zn 65.41 Zn.upf
Si 28.09 Si.upf
CELL_PARAMETERS angstrom
-0.782 0.398 6.954
-1.240 -2.293 6.506
2.561 -0.581 0.872
ATOMIC_POSITIONS crystal
As 0.991 0.991 0.009
Zn 0.326 0.326 0.674
Si 0.682 0.682 0.318
```